## i
A plane-wave DFT calculation with PBE was carried out for a relaxed Th2GaPd crystal.

Cell: 6.166 4.276 8.106 Å, 90.00 109.55 90.00°
Fractional positions:
Th (0.200, 0.250, 0.409)
Th (0.211, 0.250, 0.943)
Th (0.789, 0.750, 0.057)
Th (0.800, 0.750, 0.591)
Ga (0.340, 0.750, 0.709)
Ga (0.660, 0.250, 0.291)
Pd (0.373, 0.750, 0.222)
Pd (0.627, 0.250, 0.778)

## Properties
magnetic moment = 0.0000 μB/atom
space-group type = No. 11
volume = 201.4 Å³/cell

=====

## ii
A plane-wave DFT calculation with PBE was carried out for a relaxed Th2GaPd crystal.

Cell: 3.480 3.480 8.032 Å, 90.00 90.00 90.00°
Fractional positions:
Th (0.000, 0.000, 0.244)
Th (0.000, 0.000, 0.756)
Ga (0.500, 0.500, 0.500)
Pd (0.500, 0.500, 0.000)

## Properties
magnetic moment = 0.0000 μB/atom
space-group type = No. 123
volume = 97.3 Å³/cell

=====

The calculated energies rank the structures as follows, beginning with the most stable: i, ii.

=====

## i
A plane-wave DFT calculation with PBE was carried out for a relaxed ThGa2Pd7 crystal.

Cell: 7.134 7.134 4.560 Å, 90.00 90.00 117.73°
Fractional positions:
Th (0.000, 0.000, 0.000)
Ga (0.301, 0.699, 0.500)
Ga (0.699, 0.301, 0.500)
Pd (0.068, 0.307, 0.500)
Pd (0.226, 0.774, 0.000)
Pd (0.307, 0.068, 0.500)
Pd (0.500, 0.500, 0.500)
Pd (0.693, 0.932, 0.500)
Pd (0.774, 0.226, 0.000)
Pd (0.932, 0.693, 0.500)

## Properties
magnetic moment = 0.0000 μB/atom
space-group type = No. 65
volume = 205.4 Å³/cell

=====

## ii
A plane-wave DFT calculation with PBE was carried out for a relaxed ThGa2Pd7 crystal.

Cell: 10.538 10.538 10.538 Å, 157.17 157.17 32.51°
Fractional positions:
Th (0.000, 0.000, 0.000)
Ga (0.322, 0.322, 0.000)
Ga (0.678, 0.678, 0.000)
Pd (0.104, 0.604, 0.500)
Pd (0.250, 0.750, 0.500)
Pd (0.396, 0.896, 0.500)
Pd (0.500, 0.500, 0.000)
Pd (0.604, 0.104, 0.500)
Pd (0.750, 0.250, 0.500)
Pd (0.896, 0.396, 0.500)

## Properties
magnetic moment = 0.0000 μB/atom
space-group type = No. 139
volume = 176.1 Å³/cell

=====

The calculated energies rank the structures as follows, beginning with the most stable: ii, i.

=====

## i
A plane-wave DFT calculation with PBE was carried out for a relaxed ThGaPd4 crystal.

Cell: 5.388 5.388 5.388 Å, 60.00 60.00 60.00°
Fractional positions:
Th (0.000, 0.000, 0.000)
Ga (0.250, 0.250, 0.250)
Pd (0.127, 0.624, 0.624)
Pd (0.624, 0.127, 0.624)
Pd (0.624, 0.624, 0.127)
Pd (0.624, 0.624, 0.624)

## Properties
magnetic moment = 0.0000 μB/atom
space-group type = No. 216
volume = 110.6 Å³/cell

=====

## ii
A plane-wave DFT calculation with PBE was carried out for a relaxed ThGaPd4 crystal.

Cell: 5.559 8.723 4.513 Å, 90.00 90.00 90.00°
Fractional positions:
Th (0.000, 0.000, 0.000)
Th (0.500, 0.500, 0.000)
Ga (0.000, 0.500, 0.500)
Ga (0.500, 0.000, 0.500)
Pd (0.005, 0.338, 0.000)
Pd (0.240, 0.755, 0.500)
Pd (0.260, 0.255, 0.500)
Pd (0.495, 0.838, 0.000)
Pd (0.505, 0.162, 0.000)
Pd (0.740, 0.745, 0.500)
Pd (0.760, 0.245, 0.500)
Pd (0.995, 0.662, 0.000)

## Properties
magnetic moment = 0.0000 μB/atom
space-group type = No. 55
volume = 218.8 Å³/cell

=====

The calculated energies rank the structures as follows, beginning with the most stable: ii, i.

=====

## i
A plane-wave DFT calculation with PBE was carried out for a relaxed Th2Ga3Pd2 crystal.

Cell: 5.604 5.604 6.769 Å, 110.28 110.28 47.03°
Fractional positions:
Th (0.148, 0.148, 0.275)
Th (0.852, 0.852, 0.725)
Ga (0.393, 0.393, 0.070)
Ga (0.500, 0.500, 0.500)
Ga (0.607, 0.607, 0.930)
Pd (0.147, 0.147, 0.731)
Pd (0.853, 0.853, 0.269)

## Properties
magnetic moment = 0.0000 μB/atom
space-group type = No. 12
volume = 144.0 Å³/cell

=====

## ii
A plane-wave DFT calculation with PBE was carried out for a relaxed Th2Ga3Pd2 crystal.

Cell: 9.695 9.695 7.274 Å, 90.00 90.00 154.66°
Fractional positions:
Th (0.054, 0.946, 0.750)
Th (0.159, 0.841, 0.250)
Th (0.841, 0.159, 0.750)
Th (0.946, 0.054, 0.250)
Ga (0.219, 0.781, 0.750)
Ga (0.441, 0.559, 0.573)
Ga (0.441, 0.559, 0.927)
Ga (0.559, 0.441, 0.073)
Ga (0.559, 0.441, 0.427)
Ga (0.781, 0.219, 0.250)
Pd (0.307, 0.693, 0.047)
Pd (0.307, 0.693, 0.453)
Pd (0.693, 0.307, 0.547)
Pd (0.693, 0.307, 0.953)

## Properties
magnetic moment = 0.0000 μB/atom
space-group type = No. 63
volume = 292.6 Å³/cell

=====

The calculated energies rank the structures as follows, beginning with the most stable: ii, i.